[1]
Density functional theory data (PBE) for KMgBe3 after structural relaxation.

Cell lengths 4.8519, 4.8519, 4.8519 Å; angles 90.00, 90.00, 90.00 degrees
Sites, in units of the cell vectors:
Be1 0.0000 0.5000 0.0000
Be2 0.0000 0.0000 0.5000
Be3 0.5000 0.0000 0.0000
K1 0.5000 0.5000 0.5000
Mg1 0.0000 0.0000 0.0000

## Properties
ΔE_f ... 1238 meV/atom
Uncorrected energy ... -1.536 eV/atom
Space-group type ... Pm-3m (221)

[2]
Density functional theory data (PBE) for K3MgBe after structural relaxation.

Cell lengths 6.3801, 6.3801, 6.3801 Å; angles 90.00, 90.00, 90.00 degrees
Sites, in units of the cell vectors:
Be1 0.0000 0.0000 0.0000
K1 0.0000 0.5000 0.0000
K2 0.0000 0.0000 0.5000
K3 0.5000 0.0000 0.0000
Mg1 0.5000 0.5000 0.5000

## Properties
ΔE_f ... 680 meV/atom
Uncorrected energy ... -1.043 eV/atom
Space-group type ... Pm-3m (221)

[3]
Density functional theory data (PBE) for K4MgBe after structural relaxation.

Cell lengths 7.5621, 7.5621, 7.5621 Å; angles 60.00, 60.00, 60.00 degrees
Sites, in units of the cell vectors:
K1 0.8759 0.3747 0.3747
K2 0.3747 0.3747 0.8759
K3 0.3747 0.8759 0.3747
K4 0.3747 0.3747 0.3747
Mg1 0.7500 0.7500 0.7500
Be1 0.0000 0.0000 0.0000

## Properties
ΔE_f ... 751 meV/atom
Uncorrected energy ... -0.867 eV/atom
Space-group type ... F-43m (216)

[4]
Density functional theory data (PBE) for KMgBe after structural relaxation.

Cell lengths 12.4769, 4.2462, 7.4509 Å; angles 90.00, 101.20, 90.00 degrees
Sites, in units of the cell vectors:
Be1 0.9551 0.0000 0.8749
Be2 0.9551 0.5000 0.3749
Be3 0.9160 0.0000 0.2012
Be4 0.9160 0.5000 0.7012
K1 0.5137 0.0000 0.0631
K2 0.5137 0.5000 0.5631
K3 0.1740 0.0000 0.2794
K4 0.1740 0.5000 0.7794
Mg1 0.7562 0.0000 0.8113
Mg2 0.7562 0.5000 0.3113
Mg3 0.9241 0.0000 0.5344
Mg4 0.9241 0.5000 0.0344

## Properties
ΔE_f ... 361 meV/atom
Uncorrected energy ... -1.779 eV/atom
Space-group type ... Cm (8)

[5]
Density functional theory data (PBE) for KMgBe after structural relaxation.

Cell lengths 3.7501, 3.8481, 24.6289 Å; angles 90.00, 90.30, 90.00 degrees
Sites, in units of the cell vectors:
Be1 0.7491 0.0000 0.9777
Be2 0.2509 0.0000 0.0223
Be3 0.7491 0.5000 0.4777
Be4 0.2509 0.5000 0.5223
K1 0.2555 0.0000 0.1679
K2 0.7445 0.0000 0.8321
K3 0.2555 0.5000 0.6679
K4 0.7445 0.5000 0.3321
Mg1 0.7521 0.0000 0.5505
Mg2 0.2479 0.0000 0.4495
Mg3 0.7521 0.5000 0.0505
Mg4 0.2479 0.5000 0.9495

## Properties
ΔE_f ... 346 meV/atom
Uncorrected energy ... -1.794 eV/atom
Space-group type ... C2/m (12)

[6]
Density functional theory data (PBE) for KMgBe after structural relaxation.

Cell lengths 4.5381, 4.5381, 5.3484 Å; angles 90.00, 90.00, 120.00 degrees
Sites, in units of the cell vectors:
Be1 0.0000 0.0000 0.8323
K1 0.6667 0.3333 0.3341
Mg1 0.3333 0.6667 0.8336

## Properties
ΔE_f ... 690 meV/atom
Uncorrected energy ... -1.450 eV/atom
Space-group type ... P3m1 (156)

[7]
Density functional theory data (PBE) for KMgBe after structural relaxation.

Cell lengths 4.1824, 4.1810, 12.5636 Å; angles 81.25, 81.18, 60.23 degrees
Sites, in units of the cell vectors:
Be1 0.9350 0.9770 0.2160
Be2 0.6044 0.6465 0.2090
K1 0.2018 0.2499 0.4215
K2 0.7349 0.7798 0.7638
Mg1 0.2893 0.3306 0.1488
Mg2 0.9982 0.0400 0.0018

## Properties
ΔE_f ... 359 meV/atom
Uncorrected energy ... -1.780 eV/atom
Space-group type ... P1 (1)

[8]
Density functional theory data (PBE) for KMgBe after structural relaxation.

Cell lengths 5.0939, 5.0939, 5.0939 Å; angles 60.00, 60.00, 60.00 degrees
Sites, in units of the cell vectors:
Be1 0.7500 0.7500 0.7500
K1 0.0000 0.0000 0.0000
Mg1 0.5000 0.5000 0.5000

## Properties
ΔE_f ... 851 meV/atom
Uncorrected energy ... -1.288 eV/atom
Space-group type ... F-43m (216)

[9]
Density functional theory data (PBE) for KMgBe3 after structural relaxation.

Cell lengths 5.2321, 5.2321, 5.2321 Å; angles 90.00, 90.00, 90.00 degrees
Sites, in units of the cell vectors:
Be1 0.0000 0.5000 0.0000
Be2 0.0000 0.0000 0.5000
Be3 0.5000 0.0000 0.0000
K1 0.0000 0.0000 0.0000
Mg1 0.5000 0.5000 0.5000

## Properties
ΔE_f ... 2146 meV/atom
Uncorrected energy ... -0.628 eV/atom
Space-group type ... Pm-3m (221)

[10]
Density functional theory data (PBE) for KMgBe after structural relaxation.

Cell lengths 5.4208, 5.4208, 5.4208 Å; angles 60.00, 60.00, 60.00 degrees
Sites, in units of the cell vectors:
Be1 0.5000 0.5000 0.5000
K1 0.7500 0.7500 0.7500
Mg1 0.0000 0.0000 0.0000

## Properties
ΔE_f ... 1229 meV/atom
Uncorrected energy ... -0.911 eV/atom
Space-group type ... F-43m (216)

[11]
Density functional theory data (PBE) for KMgBe after structural relaxation.

Cell lengths 4.2546, 4.4426, 10.3700 Å; angles 77.96, 90.04, 90.01 degrees
Sites, in units of the cell vectors:
Be1 0.5000 0.0000 0.0000
Be2 0.0000 0.0000 0.0000
K1 0.7507 0.8432 0.3219
K2 0.2493 0.1568 0.6781
Mg1 0.2502 0.4514 0.1004
Mg2 0.7498 0.5486 0.8996

## Properties
ΔE_f ... 346 meV/atom
Uncorrected energy ... -1.794 eV/atom
Space-group type ... P2_1/m (11)

[12]
Density functional theory data (PBE) for KMgBe after structural relaxation.

Cell lengths 3.9686, 3.9615, 13.5098 Å; angles 89.90, 80.33, 60.02 degrees
Sites, in units of the cell vectors:
Be1 0.9009 0.5834 0.8731
Be2 0.2343 0.9165 0.8728
K1 0.1463 0.4563 0.5291
K2 0.9811 0.0419 0.2174
Mg1 0.6470 0.2111 0.7667
Mg2 0.4868 0.2889 0.9800

## Properties
ΔE_f ... 290 meV/atom
Uncorrected energy ... -1.849 eV/atom
Space-group type ... P1 (1)